(1)
Crystalline PrAu6 at its relaxed geometry, computed with PBE.

Lattice parameters (Å, degrees): 5.5879 5.5879 9.2978 82.65 82.65 89.96
With the nearest neighbours (Å) after each atom.
Atoms (fractional coordinates):
Pr 0.6870 0.3130 0.2500  14 Au 3.20-3.33
Pr 0.3130 0.6870 0.7500  14 Au 3.20-3.33
Au 0.2238 0.3854 0.0801  6 Au 2.81-3.05
Au 0.6146 0.7762 0.4199  6 Au 2.81-3.05
Au 0.9611 0.8413 0.1360  8 Au 2.79-3.05
Au 0.8413 0.9611 0.6360  8 Au 2.79-3.05
Au 0.0389 0.1587 0.8640  8 Au 2.79-3.05
Au 0.1640 0.5374 0.3713  8 Au 2.79-2.96
Au 0.4626 0.8360 0.1287  8 Au 2.79-2.96
Au 0.1587 0.0389 0.3640  8 Au 2.79-3.05
Au 0.3854 0.2238 0.5801  6 Au 2.81-3.05
Au 0.5374 0.1640 0.8713  8 Au 2.79-2.96
Au 0.7762 0.6146 0.9199  6 Au 2.81-3.05
Au 0.8360 0.4626 0.6287  8 Au 2.79-2.96

## Properties
**Offset from the most stable computed form**: 0.0000 eV per atom
**Calculated total energy**: -3.904 eV per atom
**Space group**: C2/c

=====

(2)
Crystalline CaMnV3 at its relaxed geometry, computed with PBE.

Lattice parameters (Å, degrees): 4.4706 4.4706 4.4706 90.00 90.00 90.00
With the nearest neighbours (Å) after each atom.
Atoms (fractional coordinates):
Ca 0.5000 0.5000 0.5000  12 V 3.16
Mn 0.0000 0.0000 0.0000  6 V 2.24
V 0.0000 0.5000 0.0000  2 Mn 2.24
V 0.0000 0.0000 0.5000  2 Mn 2.24
V 0.5000 0.0000 0.0000  2 Mn 2.24

## Properties
**Offset from the most stable computed form**: 0.0000 eV per atom
**Calculated total energy**: -7.037 eV per atom
**Space group**: Pm-3m

=====

(3)
Crystalline La4NdDy6 at its relaxed geometry, computed with PBE.

Lattice parameters (Å, degrees): 9.7234 9.7234 9.7234 59.46 138.94 138.94
With the nearest neighbours (Å) after each atom.
Atoms (fractional coordinates):
La 0.0000 0.6320 0.0140  7 Dy 3.48-3.88, 1 Nd 3.51, 1 La 3.68
La 0.3820 0.3680 0.3680  7 Dy 3.48-3.88, 1 Nd 3.51, 1 La 3.68
La 0.0000 0.0140 0.6320  7 Dy 3.48-3.88, 1 Nd 3.51, 1 La 3.68
La 0.6180 0.9860 0.9860  7 Dy 3.48-3.88, 1 Nd 3.51, 1 La 3.68
Nd 0.0000 0.0000 0.0000  8 Dy 3.41-3.72, 4 La 3.51
Dy 0.0000 0.7916 0.4432  3 Dy 3.21-3.36, 3 La 3.48-3.57
Dy 0.0000 0.4432 0.7916  3 Dy 3.21-3.36, 3 La 3.48-3.57
Dy 0.3483 0.5568 0.5568  3 Dy 3.21-3.36, 3 La 3.48-3.57
Dy 0.5000 0.5000 0.0000  4 Dy 3.21, 2 Nd 3.41
Dy 0.6517 0.2084 0.2084  3 Dy 3.21-3.36, 3 La 3.48-3.57
Dy 0.5000 0.0000 0.5000  4 Dy 3.21, 2 Nd 3.41

## Properties
**Calculated total energy**: -4.439 eV per atom
**Space group**: I-42m

=====

- The lowest calculated total energy belongs to which entry?
  CaMnV3

=====

- The lowest calculated total energy belongs to which entry?
  CaMnV3